Below is a geometry-optimized HfU2Tl3Te6 structure, with properties calculated at the PBE level.

CIF file:
```
data_HfU2Tl3Te6
_chemical_formula_sum 'Hf2 U4 Tl6 Te12'
_cell_length_a 7.435
_cell_length_b 12.857
_cell_length_c 8.769
_cell_angle_alpha 90.00
_cell_angle_beta 106.43
_cell_angle_gamma 90.00
_symmetry_space_group_name_H-M 'C 1 2/m 1'
_symmetry_Int_Tables_number 12
_symmetry_space_group_name_Hall '-C 2y'
loop_
_atom_site_label
_atom_site_fract_x
_atom_site_fract_y
_atom_site_fract_z
_atom_site_occupancy
Hf1 0.000 0.000 0.000 1
U1 0.000 0.335 0.000 1
Tl1 0.000 0.174 0.500 1
Tl2 0.000 0.500 0.500 1
Te1 0.228 0.158 0.211 1
Te2 0.242 0.000 0.783 1
```

Properties
Uncorrected formation energy   -528 meV per atom
DOS at the Fermi energy   18.299 states/eV/cell


Below is a geometry-optimized Cd6In3Au structure, with properties calculated at the PBE level.

CIF file:
```
data_Cd6In3Au
_chemical_formula_sum 'Cd12 In6 Au2'
_cell_length_a 9.523
_cell_length_b 4.453
_cell_length_c 11.730
_cell_angle_alpha 90.00
_cell_angle_beta 101.83
_cell_angle_gamma 90.00
_symmetry_space_group_name_H-M 'P 1 21/m 1'
_symmetry_Int_Tables_number 11
_symmetry_space_group_name_Hall '-P 2yb'
loop_
_atom_site_label
_atom_site_fract_x
_atom_site_fract_y
_atom_site_fract_z
_atom_site_occupancy
Cd1 0.015 0.250 0.404 1
Cd2 0.099 0.250 0.053 1
Cd3 0.250 0.750 0.489 1
Cd4 0.306 0.250 0.900 1
Cd5 0.393 0.750 0.762 1
Cd6 0.475 0.250 0.592 1
In1 0.031 0.750 0.218 1
In2 0.296 0.250 0.296 1
In3 0.364 0.750 0.089 1
Au1 0.195 0.250 0.648 1
```

Properties
Uncorrected energy   -1.710 eV/atom
DOS at the Fermi energy   5.318 states/eV/cell


Below is a geometry-optimized InBi2RhO6 structure, with properties calculated at the PBE level.

CIF file:
```
data_InBi2RhO6
_chemical_formula_sum 'In2 Bi4 Rh2 O12'
_cell_length_a 5.615
_cell_length_b 5.999
_cell_length_c 9.711
_cell_angle_alpha 90.00
_cell_angle_beta 123.77
_cell_angle_gamma 90.00
_symmetry_space_group_name_H-M 'P 1 21/c 1'
_symmetry_Int_Tables_number 14
_symmetry_space_group_name_Hall '-P 2ybc'
loop_
_atom_site_label
_atom_site_fract_x
_atom_site_fract_y
_atom_site_fract_z
_atom_site_occupancy
In1 0.000 0.000 0.000 1
Bi1 0.240 0.063 0.729 1
Rh1 0.500 0.000 0.500 1
O1 0.147 0.053 0.260 1
O2 0.200 0.670 0.024 1
O3 0.373 0.220 0.075 1
```

Properties
Uncorrected formation energy   -1135 meV per atom